Density functional theory data (SCAN) for a crystal of CaTaSe relaxed with PBEsol.

Properties
* distance to the lowest polymorph of the same formula: 0 kJ/mol of formula units
* crystal system: trigonal
* total DFT energy (no corrections): -32.462 eV per atom
* V: 21.621 A^3/atom
* N(E_F): 0.20 states/eV per atom
* formation energy from raw total energies: -353 meV per atom

a = 3.4184 Å, b = 3.4184 Å, c = 6.4095 Å
α = 90.00°, β = 90.00°, γ = 120.00°
Space group P3m1 (No. 156)
Symmetry-distinct sites (fractional):
Ca (0.0000, 0.0000, 0.0000)
Ta (0.6667, 0.3333, 0.4006)
Se (0.3333, 0.6667, 0.6600)